A plane-wave DFT calculation with PBE-GGA was carried out for a relaxed structure of MgSbIrPd.

Cell and atoms, written as POSCAR:
```
MgSbIrPd
1.0
4.581 0.000 0.000
2.290 3.967 0.000
2.290 1.322 3.740
Sb Mg Ir Pd
1 1 1 1
direct
0.250 0.250 0.250
0.750 0.750 0.750
0.000 0.000 0.000
0.500 0.500 0.500
```

The space group is F-43m (216). The uncorrected formation energy comes out at -354 meV/atom. The calculation puts the total energy at -21.18 eV per cell.